This record from Alexandria describes RuI after structural relaxation. The functional is PBE.

The density of states at the Fermi level is 9.1 states/eV per cell. The calculation puts the energy relative to the elements, uncorrected at 0.62 eV/atom. The crystal system is hexagonal. For the excess energy over the best structure of this formula in the dataset, the calculation gives 387 meV/atom.

It has space group P6_3/m (No. 176), with a = 9.9192 Å, b = 9.9192 Å, c = 4.2091 Å, α = 90.00°, β = 90.00° and γ = 120.00°. Symmetry generates all atoms from Ru at (0.0341, 0.4345, 0.2500) and I at (0.1230, 0.7289, 0.2500).